A crystal of KInW relaxed with PBEsol. Source: Alexandria, functional SCAN.

Magnetic moment (μB/cell): 2.067
Symmetry: No. 216
Energy of formation (eV per atom): 1.821
ΔE to the lowest computed polymorph (eV/atom): 0.8011

Unit cell a=4.8507 b=4.8507 c=4.8507 alpha=60.00 beta=60.00 gamma=60.00
With the nearest neighbours (Å) after each atom.
Atoms (fractional coordinates):
K1 0.0000 0.0000 0.0000  4 W 2.97
In1 0.5000 0.5000 0.5000  4 W 2.97
W1 0.7500 0.7500 0.7500  4 In 2.97, 4 K 2.97